# SmThTc2 | Alexandria via LeMat-Bulk | PBE | relaxed
data_SmThTc2
_chemical_formula_sum 'Sm1 Th1 Tc2'
_space_group_name_H-M_alt 'P 4/m m m'
_space_group_IT_number 123
_space_group_name_Hall '-P 4 2'
_cell_length_a 3.515
_cell_length_b 3.515
_cell_length_c 7.084
_cell_angle_alpha 90.00
_cell_angle_beta 90.00
_cell_angle_gamma 90.00
loop_
_atom_site_label
_atom_site_fract_x
_atom_site_fract_y
_atom_site_fract_z
_atom_site_occupancy
Sm1 0.000 0.000 0.000 1
Th1 0.000 0.000 0.500 1
Tc1 0.500 0.500 0.272 1
# - formation energy from the elements (meV per atom) = 81
# - final energy (eV for the cell shown) = -32.55
# - Fermi-level density of states (states/eV/cell) = 5.5

# SmThTlTc | Alexandria via LeMat-Bulk | PBE | relaxed
data_SmThTlTc
_chemical_formula_sum 'Sm1 Th1 Tl1 Tc1'
_space_group_name_H-M_alt 'P 4 m m'
_space_group_IT_number 99
_space_group_name_Hall 'P 4 -2'
_cell_length_a 3.490
_cell_length_b 3.490
_cell_length_c 8.628
_cell_angle_alpha 90.00
_cell_angle_beta 90.00
_cell_angle_gamma 90.00
loop_
_atom_site_label
_atom_site_fract_x
_atom_site_fract_y
_atom_site_fract_z
_atom_site_occupancy
Sm1 0.000 0.000 0.000 1
Th1 0.000 0.000 0.598 1
Tl1 0.500 0.500 0.291 1
Tc1 0.500 0.500 0.790 1
# - formation energy from the elements (meV per atom) = -162
# - final energy (eV for the cell shown) = -25.52
# - Fermi-level density of states (states/eV/cell) = 3.1

# SmTi2Tc | Alexandria via LeMat-Bulk | PBE | relaxed
data_SmTi2Tc
_chemical_formula_sum 'Sm1 Ti2 Tc1'
_space_group_name_H-M_alt 'P 4/m m m'
_space_group_IT_number 123
_space_group_name_Hall '-P 4 2'
_cell_length_a 3.188
_cell_length_b 3.188
_cell_length_c 7.752
_cell_angle_alpha 90.00
_cell_angle_beta 90.00
_cell_angle_gamma 90.00
loop_
_atom_site_label
_atom_site_fract_x
_atom_site_fract_y
_atom_site_fract_z
_atom_site_occupancy
Sm1 0.000 0.000 0.000 1
Ti1 0.500 0.500 0.317 1
Tc1 0.000 0.000 0.500 1
# - formation energy from the elements (meV per atom) = -128
# - final energy (eV for the cell shown) = -31.39
# - Fermi-level density of states (states/eV/cell) = 4.7

# SmTiTc4 | Alexandria via LeMat-Bulk | PBE | relaxed
data_SmTiTc4
_chemical_formula_sum 'Sm4 Ti4 Tc16'
_space_group_name_H-M_alt 'F -4 3 m'
_space_group_IT_number 216
_space_group_name_Hall 'F -4 2 3'
_cell_length_a 7.506
_cell_length_b 7.506
_cell_length_c 7.506
_cell_angle_alpha 90.00
_cell_angle_beta 90.00
_cell_angle_gamma 90.00
loop_
_atom_site_label
_atom_site_fract_x
_atom_site_fract_y
_atom_site_fract_z
_atom_site_occupancy
Sm1 0.000 0.000 0.000 1
Ti1 0.250 0.250 0.750 1
Tc1 0.124 0.124 0.376 1
# - formation energy from the elements (meV per atom) = -8
# - final energy (eV for the cell shown) = -216.50
# - Fermi-level density of states (states/eV/cell) = 44.7

# Sm3TlTc | Alexandria via LeMat-Bulk | PBE | relaxed
data_Sm3TlTc
_chemical_formula_sum 'Sm6 Tl2 Tc2'
_space_group_name_H-M_alt 'P 1 21/m 1'
_space_group_IT_number 11
_space_group_name_Hall '-P 2yb'
_cell_length_a 8.851
_cell_length_b 4.071
_cell_length_c 8.937
_cell_angle_alpha 90.00
_cell_angle_beta 116.72
_cell_angle_gamma 90.00
loop_
_atom_site_label
_atom_site_fract_x
_atom_site_fract_y
_atom_site_fract_z
_atom_site_occupancy
Sm1 0.040 0.250 0.211 1
Sm2 0.335 0.250 0.903 1
Sm3 0.345 0.750 0.575 1
Tl1 0.323 0.750 0.191 1
Tc1 0.062 0.250 0.570 1
# - formation energy from the elements (meV per atom) = -144
# - final energy (eV for the cell shown) = -55.22
# - Fermi-level density of states (states/eV/cell) = 11.1

# Sm2TlTc | Alexandria via LeMat-Bulk | PBE | relaxed
data_Sm2TlTc
_chemical_formula_sum 'Sm2 Tl1 Tc1'
_space_group_name_H-M_alt 'P 4/m m m'
_space_group_IT_number 123
_space_group_name_Hall '-P 4 2'
_cell_length_a 3.512
_cell_length_b 3.512
_cell_length_c 8.348
_cell_angle_alpha 90.00
_cell_angle_beta 90.00
_cell_angle_gamma 90.00
loop_
_atom_site_label
_atom_site_fract_x
_atom_site_fract_y
_atom_site_fract_z
_atom_site_occupancy
Sm1 0.000 0.000 0.202 1
Tl1 0.500 0.500 0.500 1
Tc1 0.500 0.500 0.000 1
# - formation energy from the elements (meV per atom) = -97
# - final energy (eV for the cell shown) = -22.56
# - Fermi-level density of states (states/eV/cell) = 3.6

# Sm12Tl6Tc | Alexandria via LeMat-Bulk | PBE | relaxed
data_Sm12Tl6Tc
_chemical_formula_sum 'Sm36 Tl18 Tc3'
_space_group_name_H-M_alt 'R -3'
_space_group_IT_number 148
_space_group_name_Hall '-R 3'
_cell_length_a 12.3842
_cell_length_b 12.3842
_cell_length_c 13.6478
_cell_angle_alpha 90.00
_cell_angle_beta 90.00
_cell_angle_gamma 120.00
loop_
_atom_site_label
_atom_site_fract_x
_atom_site_fract_y
_atom_site_fract_z
_atom_site_occupancy
Sm1 0.0370 0.1907 0.3917 1
Sm2 0.0408 0.8511 0.8730 1
Tl1 0.0070 0.4013 0.2638 1
Tc1 0.0000 0.0000 0.0000 1
# - formation energy from the elements (meV per atom) = -120
# - final energy (eV for the cell shown) = -250.42
# - Fermi-level density of states (states/eV/cell) = 55.6

# Sm6Tl2Tc | Alexandria via LeMat-Bulk | PBE | relaxed
data_Sm6Tl2Tc
_chemical_formula_sum 'Sm6 Tl2 Tc1'
_space_group_name_H-M_alt 'P -6 2 m'
_space_group_IT_number 189
_space_group_name_Hall 'P -6 -2'
_cell_length_a 8.7645
_cell_length_b 8.7645
_cell_length_c 3.9818
_cell_angle_alpha 90.00
_cell_angle_beta 90.00
_cell_angle_gamma 120.00
loop_
_atom_site_label
_atom_site_fract_x
_atom_site_fract_y
_atom_site_fract_z
_atom_site_occupancy
Sm1 0.0000 0.3897 0.0000 1
Sm2 0.0000 0.7604 0.5000 1
Tl1 0.3333 0.6667 0.5000 1
Tc1 0.0000 0.0000 0.0000 1
# - formation energy from the elements (meV per atom) = -194
# - final energy (eV for the cell shown) = -45.16
# - Fermi-level density of states (states/eV/cell) = 10.8

# Sm6TlTc | Alexandria via LeMat-Bulk | PBE | relaxed
data_Sm6TlTc
_chemical_formula_sum 'Sm12 Tl2 Tc2'
_space_group_name_H-M_alt 'C 1 2/m 1'
_space_group_IT_number 12
_space_group_name_Hall '-C 2y'
_cell_length_a 7.962
_cell_length_b 10.490
_cell_length_c 6.570
_cell_angle_alpha 90.00
_cell_angle_beta 105.03
_cell_angle_gamma 90.00
loop_
_atom_site_label
_atom_site_fract_x
_atom_site_fract_y
_atom_site_fract_z
_atom_site_occupancy
Sm1 0.138 0.183 0.281 1
Sm2 0.217 0.500 0.154 1
Tl1 0.000 0.500 0.500 1
Tc1 0.000 0.000 0.000 1
# - formation energy from the elements (meV per atom) = 84
# - final energy (eV for the cell shown) = -80.75
# - Fermi-level density of states (states/eV/cell) = 19.2

# SmTlTc | Alexandria via LeMat-Bulk | PBE | relaxed
data_SmTlTc
_chemical_formula_sum 'Sm4 Tl4 Tc4'
_space_group_name_H-M_alt 'C 1 2/m 1'
_space_group_IT_number 12
_space_group_name_Hall '-C 2y'
_cell_length_a 11.086
_cell_length_b 4.567
_cell_length_c 7.500
_cell_angle_alpha 90.00
_cell_angle_beta 129.92
_cell_angle_gamma 90.00
loop_
_atom_site_label
_atom_site_fract_x
_atom_site_fract_y
_atom_site_fract_z
_atom_site_occupancy
Sm1 0.071 0.000 0.331 1
Tl1 0.178 0.500 0.100 1
Tc1 0.126 0.500 0.667 1
# - formation energy from the elements (meV per atom) = -38
# - final energy (eV for the cell shown) = -70.26
# - Fermi-level density of states (states/eV/cell) = 8.5

# Sm2TlTc | Alexandria via LeMat-Bulk | PBE | relaxed
data_Sm2TlTc
_chemical_formula_sum 'Sm6 Tl3 Tc3'
_space_group_name_H-M_alt 'R -3 m'
_space_group_IT_number 166
_space_group_name_Hall '-R 3 2"'
_cell_length_a 3.5266
_cell_length_b 3.5266
_cell_length_c 32.1257
_cell_angle_alpha 90.00
_cell_angle_beta 90.00
_cell_angle_gamma 120.00
loop_
_atom_site_label
_atom_site_fract_x
_atom_site_fract_y
_atom_site_fract_z
_atom_site_occupancy
Sm1 0.0000 0.0000 0.1041 1
Tl1 0.0000 0.0000 0.0000 1
Tc1 0.0000 0.0000 0.5000 1
# - formation energy from the elements (meV per atom) = 227
# - final energy (eV for the cell shown) = -63.79
# - Fermi-level density of states (states/eV/cell) = 12.1

# Sm3TlTc | Alexandria via LeMat-Bulk | PBE | relaxed
data_Sm3TlTc
_chemical_formula_sum 'Sm12 Tl4 Tc4'
_space_group_name_H-M_alt 'C 1 2/m 1'
_space_group_IT_number 12
_space_group_name_Hall '-C 2y'
_cell_length_a 12.931
_cell_length_b 5.450
_cell_length_c 8.783
_cell_angle_alpha 90.00
_cell_angle_beta 113.63
_cell_angle_gamma 90.00
loop_
_atom_site_label
_atom_site_fract_x
_atom_site_fract_y
_atom_site_fract_z
_atom_site_occupancy
Sm1 0.080 0.000 0.228 1
Sm2 0.088 0.500 0.881 1
Sm3 0.209 0.000 0.717 1
Tl1 0.123 0.500 0.492 1
Tc1 0.184 0.000 0.015 1
# - formation energy from the elements (meV per atom) = -68
# - final energy (eV for the cell shown) = -108.92
# - Fermi-level density of states (states/eV/cell) = 14.3